Material: Ca2ReH
Method: DFT, PBEsol
State: optimized geometry

Summary:
excess energy over the best structure of this formula in the dataset = 0 meV/atom
uncorrected energy = -17.63 eV per formula unit
DOS(E_F) = 2.56 states/eV/f.u.

abc: 6.7105 6.7105 6.8487
angles: 90.00 90.00 90.00
Closest atoms and distances in Å follow each position.
Space group I-42d (No. 122)
Inequivalent atoms, fractional coordinates:
Ca 0.1590 0.7500 0.1250 x8  2 H 2.16
Re 0.0000 0.0000 0.5000 x4  8 Ca 2.96-3.25
H 0.0000 0.0000 0.0000 x4  4 Ca 2.16



Material: Ca2ReH
Method: DFT, PBEsol
State: optimized geometry

Summary:
excess energy over the best structure of this formula in the dataset = 258 meV/atom
uncorrected energy = -16.60 eV per formula unit
DOS(E_F) = 5.05 states/eV/f.u.

abc: 6.8809 6.8809 6.8809
angles: 90.00 90.00 90.00
Closest atoms and distances in Å follow each position.
Space group Fm-3m (No. 225)
Inequivalent atoms, fractional coordinates:
Ca 0.2500 0.2500 0.2500 x8  4 H 2.98, 4 Re 2.98
Re 0.0000 0.0000 0.0000 x4  8 Ca 2.98
H 0.0000 0.0000 0.5000 x4  8 Ca 2.98



Material: CaH3Rh
Method: DFT, PBEsol
State: optimized geometry

Summary:
uncorrected energy = -23.30 eV per formula unit
DOS(E_F) = 1.21 states/eV/f.u.

abc: 3.6013 3.6013 3.6013
angles: 90.00 90.00 90.00
Closest atoms and distances in Å follow each position.
Space group Pm-3m (No. 221)
Inequivalent atoms, fractional coordinates:
Ca 0.0000 0.0000 0.0000 x1  12 H 2.55
H 0.0000 0.5000 0.5000 x3  2 Rh 1.80
Rh 0.5000 0.5000 0.5000 x1  6 H 1.80



Material: CaH2Rh
Method: DFT, PBEsol
State: optimized geometry

Summary:
uncorrected energy = -18.46 eV per formula unit
DOS(E_F) = 0.92 states/eV/f.u.

abc: 4.2852 4.2852 10.2294
angles: 90.00 90.00 90.00
Closest atoms and distances in Å follow each position.
Space group I-42d (No. 122)
Inequivalent atoms, fractional coordinates:
Ca 0.0000 0.0000 0.0000 x4  4 H 2.37
H 0.1064 0.2500 0.6250 x8  2 Rh 1.73
Rh 0.0000 0.0000 0.5000 x4  4 H 1.73



Material: Ca3HRh
Method: DFT, PBEsol
State: optimized geometry

Summary:
uncorrected energy = -16.92 eV per formula unit
DOS(E_F) = 3.11 states/eV/f.u.

abc: 5.3647 5.3647 5.3647
angles: 90.00 90.00 90.00
Closest atoms and distances in Å follow each position.
Space group Pm-3m (No. 221)
Inequivalent atoms, fractional coordinates:
Ca 0.0000 0.0000 0.5000 x3  2 Rh 2.68
H 0.5000 0.5000 0.5000 x1  12 Ca 3.79
Rh 0.0000 0.0000 0.0000 x1  6 Ca 2.68



Material: CaHRu3
Method: DFT, PBEsol
State: optimized geometry

Summary:
uncorrected energy = -33.73 eV per formula unit
DOS(E_F) = 7.75 states/eV/f.u.

abc: 3.9978 3.9978 3.9978
angles: 90.00 90.00 90.00
Closest atoms and distances in Å follow each position.
Space group Pm-3m (No. 221)
Inequivalent atoms, fractional coordinates:
Ca 0.0000 0.0000 0.0000 x1  12 Ru 2.83
H 0.5000 0.5000 0.5000 x1  6 Ru 2.00
Ru 0.0000 0.5000 0.5000 x3  2 H 2.00